1.
The following is a DFT calculation (PBE) of a relaxed structure of TaVHg3.

For the mass density, the calculation gives 9.15 g/cm³. The calculation puts the relative energy among the computed polymorphs at 0 meV/atom. For the total magnetic moment, the calculation gives 0.780 μB per atom. Its volume is 30.26 A^3/atom. For the electronic total energy, the calculation gives -3.015 eV/atom. The space group is No. 221. As for the formation energy: 1.360 eV/atom.

Cell lengths 5.3283, 5.3283, 5.3283 Å; angles 90.00, 90.00, 90.00 degrees
Closest atoms and distances in Å follow each position.
Element x y z (fractional)
V 0.5000 0.5000 0.5000  12 Hg 3.77
Hg 0.0000 0.5000 0.0000  2 Ta 2.66
Ta 0.0000 0.0000 0.0000  6 Hg 2.66
Hg 0.5000 0.0000 0.0000  2 Ta 2.66
Hg 0.0000 0.0000 0.5000  2 Ta 2.66

***

2.
The following is a DFT calculation (PBE) of a relaxed structure of Pm8SmDy4.

For the mass density, the calculation gives 6.69 g/cm³. For the total magnetic moment, the calculation gives 0.000 μB per atom. Its volume is 37.46 A^3/atom. For the electronic total energy, the calculation gives -4.226 eV/atom. The space group is No. 221. As for the formation energy: 0.476 eV/atom.

Cell lengths 11.1236, 11.1235, 7.8674 Å; angles 90.00, 134.99, 120.00 degrees
Closest atoms and distances in Å follow each position.
Element x y z (fractional)
Pm 0.4790 0.2395 0.7185  4 Dy 3.27-3.46, 1 Sm 3.55
Pm 0.4791 0.2395 0.2401  4 Dy 3.26-3.46, 1 Sm 3.55
Pm 0.0005 0.7610 0.2400  4 Dy 3.26-3.46, 1 Sm 3.55
Dy 0.0000 0.5000 0.0000  8 Pm 3.46
Dy 0.0000 0.0000 0.0000  8 Pm 3.26-3.27
Pm 0.5210 0.7605 0.2815  4 Dy 3.27-3.46, 1 Sm 3.55
Dy 0.5000 0.5000 0.0000  8 Pm 3.46
Pm 0.9995 0.2390 0.7600  4 Dy 3.26-3.46, 1 Sm 3.55
Dy 0.5000 0.0000 0.0000  8 Pm 3.46
Pm 0.0005 0.2395 0.2400  4 Dy 3.26-3.46, 1 Sm 3.55
Sm 0.0000 0.5000 0.5000  8 Pm 3.55, 6 Dy 3.93
Pm 0.9995 0.7605 0.7600  4 Dy 3.26-3.46, 1 Sm 3.55
Pm 0.5209 0.7605 0.7599  4 Dy 3.26-3.46, 1 Sm 3.55

***

3.
The following is a DFT calculation (PBE) of a relaxed structure of KZrCd2Se.

For the mass density, the calculation gives 3.31 g/cm³. For the total magnetic moment, the calculation gives 0.375 μB per atom. Its volume is 43.60 A^3/atom. For the electronic total energy, the calculation gives -2.133 eV/atom. The space group is No. 123. The uncorrected formation energy comes out at 414.3 kJ/mol of formula units.

Cell lengths 5.6519, 6.8244, 5.6519 Å; angles 90.00, 90.00, 90.00 degrees
Closest atoms and distances in Å follow each position.
Element x y z (fractional)
K 0.0000 0.5000 0.0000  2 Zr 3.41
Cd 0.0000 0.0000 0.5000  2 Zr 2.83
Zr 0.0000 0.0000 0.0000  4 Cd 2.83
Se 0.5000 0.5000 0.5000  4 K 4.00, 8 Cd 4.43
Cd 0.5000 0.0000 0.0000  2 Zr 2.83

***

4.
The following is a DFT calculation (PBE) of a relaxed structure of GaTe3Pt.

For the mass density, the calculation gives 6.89 g/cm³. The calculation puts the relative energy among the computed polymorphs at 0 meV/atom. For the total magnetic moment, the calculation gives 0.000 μB per atom. Its volume is 31.22 A^3/atom. For the electronic total energy, the calculation gives -3.436 eV/atom. The space group is No. 221. The uncorrected formation energy comes out at 126.6 kJ/mol of formula units.

Cell lengths 5.3843, 5.3843, 5.3843 Å; angles 90.00, 90.00, 90.00 degrees
Closest atoms and distances in Å follow each position.
Element x y z (fractional)
Te 0.0000 0.5000 0.0000  2 Pt 2.69
Pt 0.0000 0.0000 0.0000  6 Te 2.69
Te 0.5000 0.0000 0.0000  2 Pt 2.69
Te 0.0000 0.0000 0.5000  2 Pt 2.69
Ga 0.5000 0.5000 0.5000  12 Te 3.81

***

5.
The following is a DFT calculation (PBE) of a relaxed structure of Sr2SiPd4.

For the mass density, the calculation gives 6.12 g/cm³. For the total magnetic moment, the calculation gives 0.000 μB per atom. Its volume is 24.38 A^3/atom. For the electronic total energy, the calculation gives -4.701 eV/atom. The space group is No. 139. The uncorrected formation energy comes out at -323.1 kJ/mol of formula units.

Cell lengths 4.6591, 4.6591, 8.5242 Å; angles 74.14, 74.14, 90.00 degrees
Closest atoms and distances in Å follow each position.
Element x y z (fractional)
Si 0.0000 0.0000 0.0000  6 Pd 2.30-2.33
Sr 0.3529 0.3529 0.2942  9 Pd 3.25-3.29
Pd 0.5000 0.0000 0.0000  2 Si 2.33
Sr 0.6471 0.6471 0.7058  9 Pd 3.25-3.29
Pd 0.0000 0.5000 0.0000  2 Si 2.33
Pd 0.8538 0.8538 0.2923  1 Si 2.30
Pd 0.1462 0.1462 0.7077  1 Si 2.30

***

6.
The following is a DFT calculation (PBE) of a relaxed structure of NbRhSe6.

For the mass density, the calculation gives 6.12 g/cm³. For the total magnetic moment, the calculation gives 0.000 μB per atom. Its volume is 22.72 A^3/atom. For the electronic total energy, the calculation gives -5.079 eV/atom. The space group is No. 2. The uncorrected formation energy comes out at -222.5 kJ/mol of formula units.

Cell lengths 6.1927, 6.3578, 7.0682 Å; angles 56.71, 55.70, 57.76 degrees
Closest atoms and distances in Å follow each position.
Element x y z (fractional)
Se 0.0276 0.4642 0.7596  1 Nb 2.49, 1 Rh 2.52
Se 0.6977 0.0772 0.8213  1 Se 2.49, 1 Rh 2.52, 1 Nb 2.61
Se 0.4278 0.8137 0.6817  1 Se 2.45, 1 Rh 2.52, 1 Nb 2.65
Nb 0.5000 0.5000 0.5000  6 Se 2.49-2.65
Rh 0.0000 0.0000 0.0000  6 Se 2.52
Se 0.9724 0.5358 0.2404  1 Nb 2.49, 1 Rh 2.52
Se 0.5722 0.1863 0.3183  1 Se 2.45, 1 Rh 2.52, 1 Nb 2.65
Se 0.3023 0.9228 0.1787  1 Se 2.49, 1 Rh 2.52, 1 Nb 2.61

***

7.
The following is a DFT calculation (PBE) of a relaxed structure of Ag3PSe3.

For the mass density, the calculation gives 4.88 g/cm³. For the total magnetic moment, the calculation gives 0.000 μB per atom. Its volume is 28.72 A^3/atom. For the electronic total energy, the calculation gives -3.396 eV/atom. The space group is No. 11. The uncorrected formation energy comes out at 62.1 kJ/mol of formula units.

Cell lengths 4.7109, 9.6602, 9.5877 Å; angles 112.84, 90.00, 90.00 degrees
Closest atoms and distances in Å follow each position.
Element x y z (fractional)
Se 0.2500 0.4306 0.2053  1 P 2.20
Se 0.7500 0.2026 0.4336  1 P 2.20
P 0.2500 0.6768 0.3186  2 Se 2.20
Ag 0.2500 0.7206 0.8275  4 Se 2.70-2.87, 3 Ag 2.96-3.00
Ag 0.7500 0.9427 0.0572  2 Se 2.65
Se 0.2500 0.8650 0.1314  4 Ag 2.65-2.70
Se 0.7500 0.5694 0.7947  1 P 2.20
Ag 0.2500 0.0573 0.9428  2 Se 2.65
Se 0.2500 0.7974 0.5664  1 P 2.20
Ag 0.2500 0.1658 0.2814  4 Se 2.70-2.92, 3 Ag 2.96-3.00
Ag 0.7500 0.2794 0.1725  4 Se 2.70-2.87, 3 Ag 2.96-3.00
P 0.7500 0.3232 0.6814  2 Se 2.20
Se 0.7500 0.1350 0.8686  4 Ag 2.65-2.70
Ag 0.7500 0.8342 0.7186  4 Se 2.70-2.92, 3 Ag 2.96-3.00

***

8.
The following is a DFT calculation (PBE) of a relaxed structure of Fe2Si2Hg.

For the mass density, the calculation gives 9.27 g/cm³. The calculation puts the relative energy among the computed polymorphs at 17 meV/atom. For the total magnetic moment, the calculation gives 0.000 μB per atom. Its volume is 13.20 A^3/atom. For the electronic total energy, the calculation gives -5.610 eV/atom. The space group is No. 127. The uncorrected formation energy comes out at 2.2 kJ/mol of formula units.

Cell lengths 6.8850, 6.8850, 2.7840 Å; angles 90.00, 90.00, 90.00 degrees
Closest atoms and distances in Å follow each position.
Element x y z (fractional)
Si 0.1412 0.6412 0.5000  6 Fe 2.42-2.50
Fe 0.3540 0.8540 0.0000  6 Si 2.42-2.50, 2 Hg 2.64
Hg 0.0000 0.0000 0.0000  4 Fe 2.64, 2 Hg 2.78
Si 0.6412 0.8588 0.5000  6 Fe 2.42-2.50
Fe 0.8540 0.6460 0.0000  6 Si 2.42-2.50, 2 Hg 2.64
Hg 0.5000 0.5000 0.0000  4 Fe 2.64, 2 Hg 2.78
Si 0.8588 0.3588 0.5000  6 Fe 2.42-2.50
Fe 0.6460 0.1460 0.0000  6 Si 2.42-2.50, 2 Hg 2.64
Fe 0.1460 0.3540 0.0000  6 Si 2.42-2.50, 2 Hg 2.64
Si 0.3588 0.1412 0.5000  6 Fe 2.42-2.50

***

9.
The following is a DFT calculation (PBE) of a relaxed structure of PmNdC4.

For the mass density, the calculation gives 5.94 g/cm³. For the total magnetic moment, the calculation gives 0.000 μB per atom. Its volume is 15.71 A^3/atom. For the electronic total energy, the calculation gives -7.863 eV/atom. The space group is No. 10. As for the formation energy: -0.127 eV/atom.

Cell lengths 3.8255, 3.8256, 6.4414 Å; angles 90.22, 90.00, 90.00 degrees
Closest atoms and distances in Å follow each position.
Element x y z (fractional)
Pm 0.5000 0.5000 0.5000  10 C 2.57-2.78
Nd 0.0000 0.0000 0.0000  10 C 2.57-2.78
C 0.0000 0.9994 0.6007  1 C 1.30
C 0.0000 0.0006 0.3993  1 C 1.30
C 0.5000 0.4997 0.1009  1 C 1.30
C 0.5000 0.5003 0.8991  1 C 1.30

***

10.
The following is a DFT calculation (PBE) of a relaxed structure of CaIr.

For the mass density, the calculation gives 7.79 g/cm³. For the total magnetic moment, the calculation gives 0.507 μB per atom. Its volume is 24.77 A^3/atom. For the electronic total energy, the calculation gives -4.802 eV/atom. The space group is No. 225. As for the formation energy: 0.630 eV/atom.

Cell lengths 4.1226, 4.1226, 4.1226 Å; angles 60.00, 60.00, 60.00 degrees
Closest atoms and distances in Å follow each position.
Element x y z (fractional)
Ir 0.5000 0.5000 0.5000  6 Ca 2.92
Ca 0.0000 0.0000 0.0000  6 Ir 2.92